No. 1
Density functional theory data (PBE) for crystalline TbNdIN at its relaxed geometry.

Properties
Space-group type ... No. 160
Raw formation energy ... -1.2105 eV per atom

Cell: 7.855 7.855 7.855 Å, 27.62 27.62 27.62°
Sites, in units of the cell vectors:
Tb: 0.000 0.000 0.000
Nd: 0.219 0.219 0.219
I: 0.441 0.441 0.441
N: 0.621 0.621 0.621



No. 2
Density functional theory data (PBE) for crystalline Nd2YI2N2 at its relaxed geometry.

Properties
Space-group type ... No. 139
Raw formation energy ... -1.2280 eV per atom

Cell: 10.287 10.287 10.287 Å, 154.74 154.74 36.02°
Sites, in units of the cell vectors:
Nd: 0.076 0.076 0.000
Nd: 0.924 0.924 0.000
Y: 0.500 0.500 0.000
I: 0.337 0.337 0.000
I: 0.663 0.663 0.000
N: 0.000 0.500 0.500
N: 0.500 0.000 0.500



No. 3
Density functional theory data (PBE) for crystalline NiIN2 at its relaxed geometry.

Properties
Space-group type ... No. 166
Raw formation energy ... 1.5154 eV per atom
Energy above the lowest structure with this stoichiometry ... 445 meV per atom

Cell: 6.131 6.131 6.131 Å, 33.48 33.48 33.48°
Sites, in units of the cell vectors:
Ni: 0.000 0.000 0.000
I: 0.500 0.500 0.500
N: 0.102 0.102 0.102
N: 0.898 0.898 0.898



Sequential total DFT energy (no corrections) output: -24.116, -44.347, -17.920 eV/cell